(P)
# TiCrSi3

Crystalline TiCrSi3 at its relaxed geometry (PBE, Alexandria via LeMat-Bulk).

Computed properties:
- crystal system = cubic
- SG = No. 221
- D(E_F) (states/eV/f.u.) = 10.13

The structure in extended XYZ format:
```
5
Lattice="-4.397 -1.351 -0.572 1.458 -4.227 -1.222 -0.165 -1.339 4.434" Properties=species:S:1:pos:R:3 pbc="T T T"
Si -0.083 -0.669 2.217
Cr -1.552 -3.458 1.320
Si -2.198 -0.676 -0.286
Ti 0.000 0.000 0.000
Si 0.729 -2.113 -0.611
```

=====

(Q)
# TiCrSi3

Crystalline TiCrSi3 at its relaxed geometry (PBE, Alexandria via LeMat-Bulk).

Computed properties:
- crystal system = cubic
- SG = No. 221
- D(E_F) (states/eV/f.u.) = 11.25

The structure in extended XYZ format:
```
5
Lattice="-4.078 1.421 -0.811 -0.307 -2.804 -3.370 -1.607 -3.071 2.701" Properties=species:S:1:pos:R:3 pbc="T T T"
Si -0.804 -1.535 1.351
Cr 0.000 0.000 0.000
Si -2.039 0.710 -0.406
Si -0.153 -1.402 -1.685
Ti -2.996 -2.227 -0.740
```

=====

Among the structures above, stability is smallest for (P).